[1]
Material: NbZn3Ir
Method: DFT, meta-GGA SCAN
State: PBEsol geometry Values from VASP.

V = 20.82 Å³ per atom
uncorrected energy = -135.3 eV per cell
DFT formation energy = 9.49 eV per formula unit

Cell and atoms, written as Quantum ESPRESSO input:
```
&SYSTEM
  ibrav = 0, nat = 5, ntyp = 3
/
ATOMIC_SPECIES
Nb 92.91 Nb.upf
Zn 65.41 Zn.upf
Ir 192.22 Ir.upf
CELL_PARAMETERS angstrom
4.704 0.000 0.000
0.000 4.704 0.000
0.000 0.000 4.704
ATOMIC_POSITIONS crystal
Nb 0.000 0.000 0.000
Zn 0.000 0.000 0.500
Zn 0.000 0.500 0.000
Zn 0.500 0.000 0.000
Ir 0.500 0.500 0.500
```

=====

[2]
Material: ReSiBr3
Method: DFT, meta-GGA SCAN
State: PBEsol geometry Values from VASP.

V = 24.56 Å³ per atom
uncorrected energy = -134.3 eV per cell

Cell and atoms, written as Quantum ESPRESSO input:
```
&SYSTEM
  ibrav = 0, nat = 5, ntyp = 3
/
ATOMIC_SPECIES
Re 186.21 Re.upf
Si 28.09 Si.upf
Br 79.90 Br.upf
CELL_PARAMETERS angstrom
4.970 0.000 0.000
0.000 4.970 0.000
0.000 0.000 4.970
ATOMIC_POSITIONS crystal
Re 0.000 0.000 0.000
Si 0.500 0.500 0.500
Br 0.000 0.000 0.500
Br 0.000 0.500 0.000
Br 0.500 0.000 0.000
```

=====

[3]
Material: LiSc2CrIn
Method: DFT, meta-GGA SCAN
State: PBEsol geometry Values from VASP.

V = 21.53 Å³ per atom
uncorrected energy = -80.6 eV per cell
DFT formation energy = 2.07 eV per formula unit

Cell and atoms, written as Quantum ESPRESSO input:
```
&SYSTEM
  ibrav = 0, nat = 5, ntyp = 4
/
ATOMIC_SPECIES
Li 6.94 Li.upf
Sc 44.96 Sc.upf
Cr 52.00 Cr.upf
In 114.82 In.upf
CELL_PARAMETERS angstrom
4.730 0.000 0.000
0.000 4.730 0.000
0.000 0.000 4.811
ATOMIC_POSITIONS crystal
Li 0.000 0.000 0.000
Sc 0.000 0.500 0.500
Sc 0.500 0.000 0.500
Cr 0.000 0.000 0.500
In 0.500 0.500 0.000
```

=====

[4]
Material: TaSnPCl2
Method: DFT, meta-GGA SCAN
State: PBEsol geometry Values from VASP.

V = 25.08 Å³ per atom
uncorrected energy = -123.9 eV per cell

Cell and atoms, written as Quantum ESPRESSO input:
```
&SYSTEM
  ibrav = 0, nat = 5, ntyp = 4
/
ATOMIC_SPECIES
Ta 180.95 Ta.upf
Sn 118.71 Sn.upf
P 30.97 P.upf
Cl 35.45 Cl.upf
CELL_PARAMETERS angstrom
4.916 0.000 0.000
0.000 4.916 0.000
0.000 0.000 5.188
ATOMIC_POSITIONS crystal
Ta 0.000 0.000 0.000
Sn 0.500 0.500 0.500
P 0.500 0.500 0.000
Cl 0.000 0.500 0.500
Cl 0.500 0.000 0.500
```

=====

[5]
Material: CoCuHg2
Method: DFT, meta-GGA SCAN
State: PBEsol geometry Values from VASP.

V = 15.93 Å³ per atom
excess energy over the best structure of this formula in the dataset = 63 meV/atom
uncorrected energy = -167.4 eV per cell
DFT formation energy = 1.48 eV per formula unit

Cell and atoms, written as Quantum ESPRESSO input:
```
&SYSTEM
  ibrav = 0, nat = 4, ntyp = 3
/
ATOMIC_SPECIES
Co 58.93 Co.upf
Cu 63.55 Cu.upf
Hg 200.59 Hg.upf
CELL_PARAMETERS angstrom
1.476 0.852 8.443
-1.476 0.852 8.443
0.000 -1.704 8.443
ATOMIC_POSITIONS crystal
Co 0.000 0.000 0.000
Cu 0.500 0.500 0.500
Hg 0.251 0.251 0.251
Hg 0.749 0.749 0.749
```

=====

[6]
Material: CdRu3Pb
Method: DFT, meta-GGA SCAN
State: PBEsol geometry Values from VASP.

V = 23.38 Å³ per atom
uncorrected energy = -200.6 eV per cell
DFT formation energy = 10.11 eV per formula unit

Cell and atoms, written as Quantum ESPRESSO input:
```
&SYSTEM
  ibrav = 0, nat = 5, ntyp = 3
/
ATOMIC_SPECIES
Cd 112.41 Cd.upf
Ru 101.07 Ru.upf
Pb 207.20 Pb.upf
CELL_PARAMETERS angstrom
4.890 0.000 0.000
0.000 4.890 0.000
0.000 0.000 4.890
ATOMIC_POSITIONS crystal
Cd 0.000 0.000 0.000
Ru 0.000 0.500 0.500
Ru 0.500 0.000 0.500
Ru 0.500 0.500 0.000
Pb 0.500 0.500 0.500
```

=====

[7]
Material: Ga2OsNF
Method: DFT, meta-GGA SCAN
State: PBEsol geometry Values from VASP.

V = 16.16 Å³ per atom
uncorrected energy = -115.5 eV per cell

Cell and atoms, written as Quantum ESPRESSO input:
```
&SYSTEM
  ibrav = 0, nat = 5, ntyp = 4
/
ATOMIC_SPECIES
Ga 69.72 Ga.upf
Os 190.23 Os.upf
N 14.01 N.upf
F 19.00 F.upf
CELL_PARAMETERS angstrom
4.701 0.000 0.000
0.000 4.701 0.000
0.000 0.000 3.656
ATOMIC_POSITIONS crystal
Ga 0.000 0.500 0.000
Ga 0.500 0.000 0.000
Os 0.000 0.000 0.500
N 0.000 0.000 0.000
F 0.500 0.500 0.500
```

=====

[8]
Material: Zr6Ni16Ge7
Method: DFT, meta-GGA SCAN
State: PBEsol geometry Values from VASP.

V = 13.15 Å³ per atom
uncorrected energy = -596.1 eV per cell
DFT formation energy = -19.53 eV per formula unit

Cell and atoms, written as Quantum ESPRESSO input:
```
&SYSTEM
  ibrav = 0, nat = 29, ntyp = 3
/
ATOMIC_SPECIES
Zr 91.22 Zr.upf
Ni 58.69 Ni.upf
Ge 72.64 Ge.upf
CELL_PARAMETERS angstrom
0.000 5.755 5.755
5.755 0.000 5.755
5.755 5.755 0.000
ATOMIC_POSITIONS crystal
Zr 0.207 0.207 0.793
Zr 0.207 0.793 0.207
Zr 0.207 0.793 0.793
Zr 0.793 0.207 0.207
Zr 0.793 0.207 0.793
Zr 0.793 0.793 0.207
Ni 0.144 0.619 0.619
Ni 0.169 0.169 0.169
Ni 0.169 0.169 0.493
Ni 0.169 0.493 0.169
Ni 0.381 0.381 0.381
Ni 0.381 0.381 0.856
Ni 0.381 0.856 0.381
Ni 0.493 0.169 0.169
Ni 0.507 0.831 0.831
Ni 0.619 0.144 0.619
Ni 0.619 0.619 0.144
Ni 0.619 0.619 0.619
Ni 0.831 0.507 0.831
Ni 0.831 0.831 0.507
Ni 0.831 0.831 0.831
Ni 0.856 0.381 0.381
Ge 0.000 0.000 0.500
Ge 0.000 0.500 0.000
Ge 0.000 0.500 0.500
Ge 0.500 0.000 0.000
Ge 0.500 0.000 0.500
Ge 0.500 0.500 0.000
Ge 0.500 0.500 0.500
```

=====

[9]
Material: NbReOs2Rh
Method: DFT, meta-GGA SCAN
State: PBEsol geometry Values from VASP.

V = 19.41 Å³ per atom
uncorrected energy = -269.3 eV per cell
DFT formation energy = 12.48 eV per formula unit

Cell and atoms, written as Quantum ESPRESSO input:
```
&SYSTEM
  ibrav = 0, nat = 5, ntyp = 4
/
ATOMIC_SPECIES
Nb 92.91 Nb.upf
Re 186.21 Re.upf
Os 190.23 Os.upf
Rh 102.91 Rh.upf
CELL_PARAMETERS angstrom
4.633 0.000 0.000
0.000 4.633 0.000
0.000 0.000 4.522
ATOMIC_POSITIONS crystal
Nb 0.000 0.000 0.000
Re 0.500 0.500 0.500
Os 0.000 0.500 0.000
Os 0.500 0.000 0.000
Rh 0.000 0.000 0.500
```

=====

[10]
Material: Na3TlCl
Method: DFT, meta-GGA SCAN
State: PBEsol geometry Values from VASP.

V = 39.33 Å³ per atom
uncorrected energy = -94.1 eV per cell

Cell and atoms, written as Quantum ESPRESSO input:
```
&SYSTEM
  ibrav = 0, nat = 5, ntyp = 3
/
ATOMIC_SPECIES
Na 22.99 Na.upf
Tl 204.38 Tl.upf
Cl 35.45 Cl.upf
CELL_PARAMETERS angstrom
5.815 0.000 0.000
0.000 5.815 0.000
0.000 0.000 5.815
ATOMIC_POSITIONS crystal
Na 0.000 0.000 0.500
Na 0.000 0.500 0.000
Na 0.500 0.000 0.000
Tl 0.000 0.000 0.000
Cl 0.500 0.500 0.500
```

=====

[11]
Material: Rb3Ag9Sb4S12
Method: DFT, meta-GGA SCAN
State: PBEsol geometry Values from VASP.

V = 23.87 Å³ per atom
uncorrected energy = -621.3 eV per cell

Cell and atoms, written as Quantum ESPRESSO input:
```
&SYSTEM
  ibrav = 0, nat = 28, ntyp = 4
/
ATOMIC_SPECIES
Rb 85.47 Rb.upf
Ag 107.87 Ag.upf
Sb 121.76 Sb.upf
S 32.06 S.upf
CELL_PARAMETERS angstrom
-5.345 5.345 5.848
5.345 -5.345 5.848
5.345 5.345 -5.848
ATOMIC_POSITIONS crystal
Rb 0.000 0.000 0.000
Rb 0.327 0.327 0.000
Rb 0.673 0.673 0.000
Ag 0.002 0.511 0.173
Ag 0.008 0.505 0.860
Ag 0.172 0.998 0.510
Ag 0.338 0.828 0.827
Ag 0.489 0.662 0.490
Ag 0.495 0.356 0.504
Ag 0.644 0.148 0.140
Ag 0.750 0.250 0.500
Ag 0.852 0.992 0.496
Sb 0.140 0.408 0.521
Sb 0.381 0.860 0.269
Sb 0.592 0.113 0.731
Sb 0.887 0.619 0.479
S 0.091 0.793 0.207
S 0.116 0.909 0.702
S 0.207 0.414 0.298
S 0.311 0.661 0.972
S 0.339 0.311 0.650
S 0.429 0.105 0.227
S 0.586 0.884 0.793
S 0.661 0.689 0.350
S 0.689 0.339 0.028
S 0.798 0.571 0.676
S 0.878 0.202 0.773
S 0.895 0.122 0.324
```

=====

[12]
Material: BaAg2PdSe
Method: DFT, meta-GGA SCAN
State: PBEsol geometry Values from VASP.

V = 25.23 Å³ per atom
uncorrected energy = -157.3 eV per cell

Cell and atoms, written as Quantum ESPRESSO input:
```
&SYSTEM
  ibrav = 0, nat = 5, ntyp = 4
/
ATOMIC_SPECIES
Ba 137.33 Ba.upf
Ag 107.87 Ag.upf
Pd 106.42 Pd.upf
Se 78.96 Se.upf
CELL_PARAMETERS angstrom
5.051 0.000 0.000
0.000 5.051 0.000
0.000 0.000 4.945
ATOMIC_POSITIONS crystal
Ba 0.000 0.000 0.000
Ag 0.000 0.500 0.500
Ag 0.500 0.000 0.500
Pd 0.500 0.500 0.500
Se 0.500 0.500 0.000
```